# 1
# SCAN Zr6FeSn2, single point on PBEsol structure
data_Zr6FeSn2
_symmetry_space_group_name_H-M 'P 1'
_symmetry_Int_Tables_number 1
_cell_length_a 3.433
_cell_length_b 7.903
_cell_length_c 7.903
_cell_angle_alpha 120.00
_cell_angle_beta 90.00
_cell_angle_gamma 90.00
loop_
_symmetry_equiv_pos_as_xyz
'x,y,z'
loop_
_atom_site_label
_atom_site_type_symbol
_atom_site_fract_x
_atom_site_fract_y
_atom_site_fract_z
Sn1 Sn 0.000 0.333 0.667
Sn2 Sn 0.000 0.667 0.333
Zr1 Zr 0.000 0.241 0.241
Zr2 Zr 0.000 0.759 0.000
Zr3 Zr 0.000 0.000 0.759
Zr4 Zr 0.500 0.000 0.393
Zr5 Zr 0.500 0.393 0.000
Zr6 Zr 0.500 0.607 0.607
Fe1 Fe 0.500 0.000 0.000
# Total moment in μB per cell: 0.00
# E_tot in eV per atom: -30.899
# Space group: No. 189

***

# 2
# SCAN CsNa2Au2, single point on PBEsol structure
data_CsNa2Au2
_symmetry_space_group_name_H-M 'P 1'
_symmetry_Int_Tables_number 1
_cell_length_a 3.399
_cell_length_b 8.823
_cell_length_c 8.823
_cell_angle_alpha 90.00
_cell_angle_beta 90.00
_cell_angle_gamma 90.00
loop_
_symmetry_equiv_pos_as_xyz
'x,y,z'
loop_
_atom_site_label
_atom_site_type_symbol
_atom_site_fract_x
_atom_site_fract_y
_atom_site_fract_z
Cs1 Cs 0.000 0.000 0.000
Cs2 Cs 0.000 0.500 0.500
Na1 Na 0.000 0.378 0.878
Na2 Na 0.000 0.878 0.622
Na3 Na 0.000 0.622 0.122
Na4 Na 0.000 0.122 0.378
Au1 Au 0.500 0.171 0.671
Au2 Au 0.500 0.671 0.829
Au3 Au 0.500 0.829 0.329
Au4 Au 0.500 0.329 0.171
# Total moment in μB per cell: 0.00
# Offset from the most stable computed form in meV per atom: 62
# Space group: No. 127

***

# 3
# SCAN Ga2IBr, single point on PBEsol structure
data_Ga2IBr
_symmetry_space_group_name_H-M 'P 1'
_symmetry_Int_Tables_number 1
_cell_length_a 5.394
_cell_length_b 5.394
_cell_length_c 5.394
_cell_angle_alpha 60.00
_cell_angle_beta 60.00
_cell_angle_gamma 60.00
loop_
_symmetry_equiv_pos_as_xyz
'x,y,z'
loop_
_atom_site_label
_atom_site_type_symbol
_atom_site_fract_x
_atom_site_fract_y
_atom_site_fract_z
I1 I 0.500 0.500 0.500
Ga1 Ga 0.250 0.250 0.250
Ga2 Ga 0.750 0.750 0.750
Br1 Br 0.000 0.000 0.000
# Total moment in μB per cell: 0.00
# ΔE_f (raw) in kJ/mol of atoms: -24.1
# Space group: No. 225